Record 1
Below is Rb2ZrBBr6 after structural relaxation, with properties calculated at the PBE level.

a b c (Å): 7.729 7.729 7.729
angles (deg): 119.79 119.79 90.37
Fractional coordinates of all 10 atoms:
Rb (0.250, 0.750, 0.500)
Rb (0.750, 0.250, 0.500)
Zr (0.000, 0.000, 0.000)
B (0.500, 0.500, 0.000)
Br (0.247, 0.247, 0.494)
Br (0.247, 0.753, 0.000)
Br (0.249, 0.249, 0.000)
Br (0.751, 0.751, 0.000)
Br (0.753, 0.247, 0.000)
Br (0.753, 0.753, 0.506)

Record 2
Below is AgBiP2Pb after structural relaxation, with properties calculated at the PBE level.

a b c (Å): 5.238 5.238 6.116
angles (deg): 90.00 90.00 90.00
Fractional coordinates of all 5 atoms:
Ag (0.000, 0.000, 0.000)
Bi (0.500, 0.500, 0.500)
P (0.000, 0.500, 0.500)
P (0.500, 0.000, 0.500)
Pb (0.500, 0.500, 0.000)

Record 3
Below is DyHo3Al4 after structural relaxation, with properties calculated at the PBE level.

a b c (Å): 5.069 5.069 7.184
angles (deg): 90.00 90.00 90.00
Fractional coordinates of all 8 atoms:
Dy (0.000, 0.000, 0.000)
Ho (0.000, 0.000, 0.500)
Ho (0.500, 0.500, 0.000)
Ho (0.500, 0.500, 0.500)
Al (0.000, 0.500, 0.251)
Al (0.000, 0.500, 0.749)
Al (0.500, 0.000, 0.251)
Al (0.500, 0.000, 0.749)

Record 4
Below is Mn2FeRh after structural relaxation, with properties calculated at the PBE level.

a b c (Å): 4.150 4.150 2.938
angles (deg): 90.00 90.00 90.00
Fractional coordinates of all 4 atoms:
Mn (0.000, 0.500, 0.000)
Mn (0.500, 0.000, 0.000)
Fe (0.000, 0.000, 0.500)
Rh (0.500, 0.500, 0.500)

Output
- Excess energy over the best structure of this formula in the dataset: 108.9 meV per atom

Record 5
Below is CsNa2NdBr6 after structural relaxation, with properties calculated at the PBE level.

a b c (Å): 8.450 8.450 8.450
angles (deg): 54.66 54.66 54.66
Fractional coordinates of all 10 atoms:
Cs (0.000, 0.000, 0.000)
Na (0.274, 0.274, 0.274)
Na (0.792, 0.792, 0.792)
Nd (0.468, 0.468, 0.468)
Br (0.059, 0.595, 0.477)
Br (0.208, 0.537, 0.861)
Br (0.477, 0.059, 0.595)
Br (0.537, 0.861, 0.208)
Br (0.595, 0.477, 0.059)
Br (0.861, 0.208, 0.537)

Record 6
Below is AcEuAg after structural relaxation, with properties calculated at the PBE level.

a b c (Å): 5.343 5.343 4.098
angles (deg): 90.00 90.00 120.00
Fractional coordinates of all 3 atoms:
Ac (0.000, 0.000, 0.000)
Eu (0.333, 0.667, 0.536)
Ag (0.667, 0.333, 0.358)

Output
- Excess energy over the best structure of this formula in the dataset: 132.0 meV per atom

Record 7
Below is ZnHgW2 after structural relaxation, with properties calculated at the PBE level.

a b c (Å): 3.352 3.352 6.051
angles (deg): 90.00 90.00 90.00
Fractional coordinates of all 4 atoms:
Zn (0.000, 0.000, 0.000)
Hg (0.000, 0.000, 0.500)
W (0.500, 0.500, 0.203)
W (0.500, 0.500, 0.797)

Output
- Excess energy over the best structure of this formula in the dataset: 382.2 meV per atom

Record 8
Below is YNi2Au after structural relaxation, with properties calculated at the PBE level.

a b c (Å): 3.328 3.472 5.802
angles (deg): 90.00 90.00 90.00
Fractional coordinates of all 4 atoms:
Y (0.000, 0.000, 0.000)
Ni (0.500, 0.500, 0.278)
Ni (0.500, 0.500, 0.722)
Au (0.000, 0.000, 0.500)

| no. | magnetic moment (μB/f.u.) | total DFT energy (no corrections) (eV/atom) |
| --- | --- | --- |
| 1 | 1.000 | -3.5944 |
| 2 | 0.000 | -3.0710 |
| 3 | 0.000 | -4.5597 |
| 4 | 7.173 | -8.4891 |
| 5 | 0.000 | -3.5673 |
| 6 | 7.211 | -5.7705 |
| 7 | 0.000 | -6.1109 |
| 8 | 0.000 | -5.5406 |